DFT (PBE) results for a relaxed Li2Ni2Rh crystal.

Output
Calculated volume in Å³ per cell: 119.57
Electronic total energy in eV per atom: -4.378
Fermi-level density of states in states/eV/f.u.: 5.7
Energy relative to the elements in meV per atom: 170
SG: No. 127
Offset from the most stable computed form in meV/atom: 75.6

Geometry as POSCAR:
```
Li2Ni2Rh
1.0
6.665 0.000 0.000
0.000 6.665 0.000
0.000 0.000 2.691
Li Ni Rh
4 4 2
direct
0.174 0.326 0.000
0.326 0.826 0.000
0.674 0.174 0.000
0.826 0.674 0.000
0.125 0.625 0.500
0.375 0.125 0.500
0.625 0.875 0.500
0.875 0.375 0.500
0.000 0.000 0.500
0.500 0.500 0.500
```


DFT (PBE) results for a relaxed TbPm9Nd2 crystal.

Output
Calculated volume in Å³ per cell: 410.94
Electronic total energy in eV per atom: -4.728
Fermi-level density of states in states/eV/f.u.: 19.9
Energy relative to the elements in meV per atom: 15
SG: No. 123
Offset from the most stable computed form in meV/atom: 0.0

Geometry as POSCAR:
```
TbPm9Nd2
1.0
5.154 0.000 0.000
0.000 5.154 0.000
0.000 0.000 15.469
Tb Pm Nd
1 9 2
direct
0.000 0.000 0.000
0.000 0.500 0.165
0.000 0.500 0.500
0.000 0.500 0.835
0.500 0.000 0.165
0.500 0.000 0.500
0.500 0.000 0.835
0.500 0.500 0.000
0.500 0.500 0.332
0.500 0.500 0.668
0.000 0.000 0.332
0.000 0.000 0.668
```


DFT (PBE) results for a relaxed YPt2Pb crystal.

Output
Calculated volume in Å³ per cell: 82.67
Electronic total energy in eV per atom: -6.203
Fermi-level density of states in states/eV/f.u.: 2.1
Energy relative to the elements in meV per atom: -639
SG: No. 8

Geometry as POSCAR:
```
YPt2Pb
1.0
5.046 -2.099 0.000
5.046 2.099 0.000
-1.788 0.000 3.903
Y Pt Pb
1 2 1
direct
0.000 0.000 0.000
0.247 0.247 0.746
0.500 0.500 0.502
0.752 0.752 0.255
```


DFT (PBE) results for a relaxed Sm5HgBi2 crystal.

Output
Calculated volume in Å³ per cell: 521.25
Electronic total energy in eV per atom: -4.268
Fermi-level density of states in states/eV/f.u.: 7.5
Energy relative to the elements in meV per atom: -311
SG: No. 63

Geometry as POSCAR:
```
Sm5HgBi2
1.0
2.975 -5.959 0.000
2.975 5.959 0.000
0.000 0.000 14.704
Sm Hg Bi
10 2 4
direct
0.072 0.928 0.604
0.072 0.928 0.896
0.377 0.623 0.551
0.377 0.623 0.949
0.414 0.586 0.250
0.586 0.414 0.750
0.623 0.377 0.051
0.623 0.377 0.449
0.928 0.072 0.104
0.928 0.072 0.396
0.292 0.708 0.750
0.708 0.292 0.250
0.198 0.802 0.115
0.198 0.802 0.385
0.802 0.198 0.615
0.802 0.198 0.885
```